# LaCd2Pd2

A relaxed structure of LaCd2Pd2 (GGA-PBEsol, Alexandria via LeMat-Bulk).

Lattice parameters (Å, degrees): 4.0720 4.0720 12.7802 90.00 90.00 90.00
Space group I4/mmm (No. 139)
Asymmetric unit:
La 0.0000 0.0000 0.0000 [2 per cell]
Cd 0.0000 0.5000 0.2500 [4 per cell]
Pd 0.0000 0.0000 0.3978 [4 per cell]

ΔH_f (0 K)   -261 kJ/mol of formula units
Calculated total energy   -4.472 eV/atom
Crystal system   tetragonal
ρ   9036 kg/m³